1.
Material: Pr7Dy3Tm
Method: DFT, PBE
State: optimized geometry

Cell lengths 8.6254, 8.6254, 5.9542 Å; angles 110.17, 110.17, 83.28 degrees
Closest atoms and distances in Å follow each position.
Fractional coordinates of all 11 atoms:
Pr (0.0000, 0.0000, 0.0000)  2 Tm 2.98
Pr (0.0973, 0.5201, 0.3089)  1 Dy 3.26, 3 Pr 3.38-3.50
Pr (0.2904, 0.2904, 0.7915)  1 Tm 3.32, 2 Dy 3.36, 2 Pr 3.50
Pr (0.4799, 0.9027, 0.6911)  1 Dy 3.26, 3 Pr 3.38-3.50
Pr (0.5201, 0.0973, 0.3089)  1 Dy 3.26, 3 Pr 3.38-3.50
Pr (0.7096, 0.7096, 0.2085)  1 Tm 3.32, 2 Dy 3.36, 2 Pr 3.50
Pr (0.9027, 0.4799, 0.6911)  1 Dy 3.26, 3 Pr 3.38-3.50
Dy (0.2949, 0.7051, 0.0000)  9 Pr 3.36-3.70
Dy (0.5000, 0.5000, 0.5000)  4 Pr 3.26
Dy (0.7051, 0.2949, 0.0000)  9 Pr 3.36-3.70
Tm (0.0000, 0.0000, 0.5000)  4 Pr 2.98-3.32

Calculated total energy, eV per atom: -4.480
Offset from the most stable computed form, meV per atom: 37.8
Energy relative to the elements, eV per atom: 0.224
Space-group type: C2/m (12)



2.
Material: Pr3Dy3Tm2
Method: DFT, PBE
State: optimized geometry

Cell lengths 10.7697, 10.7697, 10.7697 Å; angles 152.73, 152.65, 39.01 degrees
Closest atoms and distances in Å follow each position.
Fractional coordinates of all 8 atoms:
Pr (0.0000, 0.0000, 0.0000)  8 Dy 3.60-3.63, 4 Pr 3.62
Pr (0.3736, 0.8736, 0.5000)  4 Tm 3.57-3.58, 6 Dy 3.60-3.61, 2 Pr 3.62
Pr (0.6264, 0.1264, 0.5000)  4 Tm 3.57-3.58, 6 Dy 3.60-3.61, 2 Pr 3.62
Dy (0.1276, 0.6276, 0.5000)  4 Tm 3.54-3.57, 6 Pr 3.60-3.63, 2 Dy 3.63
Dy (0.5000, 0.5000, 0.0000)  8 Pr 3.60-3.61, 4 Dy 3.63
Dy (0.8724, 0.3724, 0.5000)  4 Tm 3.54-3.57, 6 Pr 3.60-3.63, 2 Dy 3.63
Tm (0.2494, 0.2494, 0.0000)  4 Dy 3.54-3.57, 4 Pr 3.57-3.58, 4 Tm 3.60
Tm (0.7506, 0.7506, 0.0000)  4 Dy 3.54-3.57, 4 Pr 3.57-3.58, 4 Tm 3.60

Calculated total energy, eV per atom: -4.610
Offset from the most stable computed form, meV per atom: 0.0
Energy relative to the elements, eV per atom: 0.026
Space-group type: Immm (71)



3.
Material: Pr3Dy5Tm4
Method: DFT, PBE
State: optimized geometry

Cell lengths 6.1778, 7.1295, 8.7329 Å; angles 90.04, 90.07, 90.17 degrees
Closest atoms and distances in Å follow each position.
Fractional coordinates of all 12 atoms:
Pr (0.0000, 0.0000, 0.0000)  8 Dy 3.56-3.59, 2 Tm 3.58, 2 Pr 3.58
Pr (0.1661, 0.7484, 0.6652)  6 Tm 3.54-3.59, 5 Dy 3.56-3.58, 1 Pr 3.58
Pr (0.8339, 0.2516, 0.3348)  6 Tm 3.54-3.59, 5 Dy 3.56-3.58, 1 Pr 3.58
Dy (0.0000, 0.5000, 0.0000)  4 Dy 3.55-3.56, 4 Pr 3.56-3.57, 4 Tm 3.56-3.57
Dy (0.3354, 0.0000, 0.3335)  3 Dy 3.55-3.57, 5 Tm 3.55-3.59, 4 Pr 3.56-3.58
Dy (0.4985, 0.2523, 0.9997)  6 Dy 3.53-3.60, 3 Tm 3.55-3.56, 3 Pr 3.56-3.59
Dy (0.5015, 0.7477, 0.0003)  6 Dy 3.53-3.60, 3 Tm 3.55-3.56, 3 Pr 3.56-3.59
Dy (0.6646, 0.0000, 0.6665)  3 Dy 3.55-3.57, 5 Tm 3.55-3.59, 4 Pr 3.56-3.58
Tm (0.1693, 0.2517, 0.6663)  3 Tm 3.54-3.58, 4 Pr 3.54-3.59, 5 Dy 3.55-3.59
Tm (0.3340, 0.5004, 0.3332)  4 Tm 3.54-3.58, 3 Pr 3.55-3.57, 5 Dy 3.55-3.57
Tm (0.6660, 0.4996, 0.6668)  4 Tm 3.54-3.58, 3 Pr 3.55-3.57, 5 Dy 3.55-3.57
Tm (0.8307, 0.7483, 0.3337)  3 Tm 3.54-3.58, 4 Pr 3.54-3.59, 5 Dy 3.55-3.59

Calculated total energy, eV per atom: -4.581
Offset from the most stable computed form, meV per atom: 0.0
Energy relative to the elements, eV per atom: 0.022
Space-group type: P-1 (2)



4.
Material: Pr5Dy5Tm
Method: DFT, PBE
State: optimized geometry

Cell lengths 9.9828, 9.9828, 7.0678 Å; angles 110.62, 110.62, 35.19 degrees
Closest atoms and distances in Å follow each position.
Fractional coordinates of all 11 atoms:
Pr (0.0000, 0.0000, 0.0000)  2 Dy 2.98, 2 Tm 3.02
Pr (0.3249, 0.3249, 0.0687)  6 Dy 3.31-3.64, 2 Pr 3.45-3.61, 1 Tm 3.54
Pr (0.3251, 0.3251, 0.5802)  6 Dy 3.30-3.64, 2 Pr 3.45-3.61, 1 Tm 3.55
Pr (0.6749, 0.6749, 0.4198)  6 Dy 3.30-3.64, 2 Pr 3.45-3.61, 1 Tm 3.55
Pr (0.6751, 0.6751, 0.9313)  6 Dy 3.31-3.64, 2 Pr 3.45-3.61, 1 Tm 3.54
Dy (0.1217, 0.1217, 0.6231)  4 Dy 3.63-3.71, 6 Pr 3.64-3.99
Dy (0.1687, 0.1687, 0.1698)  3 Pr 2.98-3.31
Dy (0.5000, 0.5000, 0.5000)  2 Tm 3.53, 4 Pr 3.58-3.59, 4 Dy 3.71
Dy (0.8313, 0.8313, 0.8302)  3 Pr 2.98-3.31
Dy (0.8783, 0.8783, 0.3769)  4 Dy 3.63-3.71, 6 Pr 3.64-3.99
Tm (0.5000, 0.5000, 0.0000)  2 Pr 3.02

Calculated total energy, eV per atom: -4.413
Energy relative to the elements, eV per atom: 0.258
Space-group type: C2/m (12)



What did the first record say?
Material: Pr7Dy3Tm
Method: DFT, PBE
State: optimized geometry

Cell lengths 8.6254, 8.6254, 5.9542 Å; angles 110.17, 110.17, 83.28 degrees
Closest atoms and distances in Å follow each position.
Fractional coordinates of all 11 atoms:
Pr (0.0000, 0.0000, 0.0000)  2 Tm 2.98
Pr (0.0973, 0.5201, 0.3089)  1 Dy 3.26, 3 Pr 3.38-3.50
Pr (0.2904, 0.2904, 0.7915)  1 Tm 3.32, 2 Dy 3.36, 2 Pr 3.50
Pr (0.4799, 0.9027, 0.6911)  1 Dy 3.26, 3 Pr 3.38-3.50
Pr (0.5201, 0.0973, 0.3089)  1 Dy 3.26, 3 Pr 3.38-3.50
Pr (0.7096, 0.7096, 0.2085)  1 Tm 3.32, 2 Dy 3.36, 2 Pr 3.50
Pr (0.9027, 0.4799, 0.6911)  1 Dy 3.26, 3 Pr 3.38-3.50
Dy (0.2949, 0.7051, 0.0000)  9 Pr 3.36-3.70
Dy (0.5000, 0.5000, 0.5000)  4 Pr 3.26
Dy (0.7051, 0.2949, 0.0000)  9 Pr 3.36-3.70
Tm (0.0000, 0.0000, 0.5000)  4 Pr 2.98-3.32

Calculated total energy, eV per atom: -4.480
Offset from the most stable computed form, meV per atom: 37.8
Energy relative to the elements, eV per atom: 0.224
Space-group type: C2/m (12)